[1]
The following is a SCAN calculation of TlPdCl3 at its PBEsol-relaxed geometry, from the Alexandria database.

```
data_TlPdCl3
_cell_length_a 4.842
_cell_length_b 4.842
_cell_length_c 4.842
_cell_angle_alpha 90.00
_cell_angle_beta 90.00
_cell_angle_gamma 90.00
_symmetry_space_group_name_H-M 'P m -3 m'
_symmetry_Int_Tables_number 221
_symmetry_space_group_name_Hall '-P 4 2 3'
loop_
_atom_site_label
_atom_site_fract_x
_atom_site_fract_y
_atom_site_fract_z
Tl1 0.000 0.000 0.000
Pd1 0.500 0.500 0.500
Cl1 0.000 0.500 0.500
```

Results
Its uncorrected formation energy is -801 meV/atom. For the size of the total moment, the calculation gives 0.000 μB/cell.

---

[2]
The following is a SCAN calculation of PdWCl3 at its PBEsol-relaxed geometry, from the Alexandria database.

```
data_PdWCl3
_cell_length_a 4.673
_cell_length_b 4.673
_cell_length_c 4.673
_cell_angle_alpha 90.00
_cell_angle_beta 90.00
_cell_angle_gamma 90.00
_symmetry_space_group_name_H-M 'P m -3 m'
_symmetry_Int_Tables_number 221
_symmetry_space_group_name_Hall '-P 4 2 3'
loop_
_atom_site_label
_atom_site_fract_x
_atom_site_fract_y
_atom_site_fract_z
Pd1 0.000 0.000 0.000
W1 0.500 0.500 0.500
Cl1 0.000 0.500 0.500
```

Results
Its uncorrected formation energy is 362 meV/atom. For the size of the total moment, the calculation gives 0.003 μB/cell.